1.
! PBE Li6BiPd5, relaxed; values from VASP
! DFT total energy = -3.871 eV per atom
! energy relative to the elements = -427 meV per atom
! volume = 14.46 Å³ per atom
! energy above the lowest structure with this stoichiometry = 0.000 eV/atom
! crystal system = orthorhombic
! total magnetic moment = 0.00 μB/f.u.
! density of states at the Fermi level = 3.6 states/eV/f.u.
&SYSTEM
  ibrav = 0, nat = 12, ntyp = 3
/
ATOMIC_SPECIES
Li 6.94 Li.upf
Bi 208.98 Bi.upf
Pd 106.42 Pd.upf
CELL_PARAMETERS angstrom
-2.198 3.015 6.547
2.198 -3.015 6.547
2.198 3.015 -6.547
ATOMIC_POSITIONS angstrom
Li 2.198 1.422 -2.320
Li 0.000 1.336 0.000
Li 2.198 1.422 2.320
Li 0.000 1.593 4.227
Li 0.000 4.694 0.000
Li 0.000 1.593 8.868
Bi 0.000 0.000 6.547
Pd 2.198 0.000 0.000
Pd 0.000 0.000 2.196
Pd 2.198 0.000 4.463
Pd 0.000 3.015 2.084
Pd 0.000 0.000 10.899

***

2.
! PBE Li7BiPd3, relaxed; values from VASP
! DFT total energy = -3.257 eV per atom
! energy relative to the elements = -270 meV per atom
! volume = 17.04 Å³ per atom
! crystal system = monoclinic
! total magnetic moment = 0.00 μB/f.u.
! density of states at the Fermi level = 2.4 states/eV/f.u.
&SYSTEM
  ibrav = 0, nat = 11, ntyp = 3
/
ATOMIC_SPECIES
Li 6.94 Li.upf
Bi 208.98 Bi.upf
Pd 106.42 Pd.upf
CELL_PARAMETERS angstrom
4.765 -4.686 0.000
4.765 4.686 0.000
-2.440 0.000 4.197
ATOMIC_POSITIONS angstrom
Li 0.000 0.000 0.000
Li 2.298 2.026 1.359
Li 1.168 0.000 3.526
Li 4.792 2.026 2.838
Li 2.298 -2.026 1.359
Li 5.922 0.000 0.672
Li 4.792 -2.026 2.838
Bi -1.220 0.000 2.099
Pd 4.765 2.145 0.000
Pd 3.545 0.000 2.099
Pd 4.765 -2.145 0.000

***

3.
! PBE LiBi4Pd7, relaxed; values from VASP
! DFT total energy = -4.694 eV per atom
! energy relative to the elements = -212 meV per atom
! volume = 20.47 Å³ per atom
! crystal system = monoclinic
! total magnetic moment = 0.00 μB/f.u.
! density of states at the Fermi level = 5.3 states/eV/f.u.
&SYSTEM
  ibrav = 0, nat = 12, ntyp = 3
/
ATOMIC_SPECIES
Li 6.94 Li.upf
Bi 208.98 Bi.upf
Pd 106.42 Pd.upf
CELL_PARAMETERS angstrom
5.735 -2.450 0.000
5.735 2.450 0.000
-5.503 0.000 8.738
ATOMIC_POSITIONS angstrom
Li 0.000 0.000 0.000
Bi -0.767 0.000 5.851
Bi 3.479 0.000 1.925
Bi 2.489 0.000 6.813
Bi 6.735 0.000 2.887
Pd -0.847 0.000 2.790
Pd -2.599 0.000 7.976
Pd 1.574 0.000 4.201
Pd 5.735 0.000 0.000
Pd 4.394 0.000 4.537
Pd 8.567 0.000 0.762
Pd 6.815 0.000 5.949

***

4.
! PBE Li2Bi3Pd6, relaxed; values from VASP
! DFT total energy = -4.488 eV per atom
! energy relative to the elements = -249 meV per atom
! volume = 18.56 Å³ per atom
! crystal system = tetragonal
! total magnetic moment = 0.00 μB/f.u.
! density of states at the Fermi level = 5.1 states/eV/f.u.
&SYSTEM
  ibrav = 0, nat = 11, ntyp = 3
/
ATOMIC_SPECIES
Li 6.94 Li.upf
Bi 208.98 Bi.upf
Pd 106.42 Pd.upf
CELL_PARAMETERS angstrom
-2.111 2.111 11.458
2.111 -2.111 11.458
2.111 2.111 -11.458
ATOMIC_POSITIONS angstrom
Li 0.000 0.000 1.166
Li 0.000 0.000 21.751
Bi 0.000 0.000 7.143
Bi 0.000 0.000 11.458
Bi 0.000 0.000 15.774
Pd 2.111 0.000 2.399
Pd 0.000 0.000 4.374
Pd 2.111 0.000 9.059
Pd 0.000 2.111 2.399
Pd 0.000 0.000 18.542
Pd 0.000 2.111 9.059

***

5.
! PBE LiBi4Pd5, relaxed; values from VASP
! DFT total energy = -4.607 eV per atom
! energy relative to the elements = -267 meV per atom
! volume = 20.67 Å³ per atom
! crystal system = tetragonal
! total magnetic moment = 0.00 μB/f.u.
! density of states at the Fermi level = 5.0 states/eV/f.u.
&SYSTEM
  ibrav = 0, nat = 10, ntyp = 3
/
ATOMIC_SPECIES
Li 6.94 Li.upf
Bi 208.98 Bi.upf
Pd 106.42 Pd.upf
CELL_PARAMETERS angstrom
-4.222 4.222 2.899
4.222 -4.222 2.899
4.222 4.222 -2.899
ATOMIC_POSITIONS angstrom
Li 0.000 0.000 0.000
Bi 2.560 -0.650 1.478
Bi 5.885 0.650 1.478
Bi 0.650 2.560 1.478
Bi -0.650 5.885 1.478
Pd 4.912 -2.178 1.517
Pd 0.000 0.000 2.647
Pd 3.533 2.178 1.517
Pd -2.178 3.533 1.517
Pd 2.178 4.912 1.517

***

6.
! PBE Li3Bi4Pd, relaxed; values from VASP
! DFT total energy = -3.649 eV per atom
! energy relative to the elements = -341 meV per atom
! volume = 23.45 Å³ per atom
! crystal system = tetragonal
! total magnetic moment = 0.00 μB/f.u.
! density of states at the Fermi level = 1.8 states/eV/f.u.
&SYSTEM
  ibrav = 0, nat = 8, ntyp = 3
/
ATOMIC_SPECIES
Li 6.94 Li.upf
Bi 208.98 Bi.upf
Pd 106.42 Pd.upf
CELL_PARAMETERS angstrom
3.396 0.000 0.000
0.000 3.396 0.000
0.000 0.000 16.271
ATOMIC_POSITIONS angstrom
Li 0.000 0.000 0.000
Li 0.000 0.000 4.066
Li 0.000 0.000 12.205
Bi 1.698 1.698 2.121
Bi 1.698 1.698 6.291
Bi 1.698 1.698 9.979
Bi 1.698 1.698 14.150
Pd 0.000 0.000 8.135

***

7.
! PBE Li2BiPd2, relaxed; values from VASP
! DFT total energy = -3.982 eV per atom
! energy relative to the elements = -363 meV per atom
! volume = 17.51 Å³ per atom
! energy above the lowest structure with this stoichiometry = 0.086 eV/atom
! crystal system = tetragonal
! total magnetic moment = 0.00 μB/f.u.
! density of states at the Fermi level = 2.5 states/eV/f.u.
&SYSTEM
  ibrav = 0, nat = 10, ntyp = 3
/
ATOMIC_SPECIES
Li 6.94 Li.upf
Bi 208.98 Bi.upf
Pd 106.42 Pd.upf
CELL_PARAMETERS angstrom
7.203 0.000 0.000
0.000 7.203 0.000
0.000 0.000 3.376
ATOMIC_POSITIONS angstrom
Li 1.095 2.506 0.000
Li 2.506 6.108 0.000
Li 4.697 1.095 0.000
Li 6.108 4.697 0.000
Bi 0.000 0.000 1.688
Bi 3.601 3.601 1.688
Pd 1.018 4.620 1.688
Pd 2.583 1.018 1.688
Pd 4.620 6.184 1.688
Pd 6.184 2.583 1.688

***

8.
! PBE Li2BiPd2, relaxed; values from VASP
! DFT total energy = -4.068 eV per atom
! energy relative to the elements = -449 meV per atom
! volume = 16.83 Å³ per atom
! energy above the lowest structure with this stoichiometry = 0.000 eV/atom
! crystal system = monoclinic
! total magnetic moment = 0.00 μB/f.u.
! density of states at the Fermi level = 1.4 states/eV/f.u.
&SYSTEM
  ibrav = 0, nat = 10, ntyp = 3
/
ATOMIC_SPECIES
Li 6.94 Li.upf
Bi 208.98 Bi.upf
Pd 106.42 Pd.upf
CELL_PARAMETERS angstrom
4.574 -2.108 0.000
4.574 2.108 0.000
-0.708 0.000 8.729
ATOMIC_POSITIONS angstrom
Li 0.189 0.000 3.165
Li 1.223 0.000 0.383
Li 7.217 0.000 8.346
Li 8.251 0.000 5.564
Bi 1.797 0.000 6.525
Bi 6.643 0.000 2.204
Pd 2.896 0.000 3.914
Pd 3.975 0.000 1.281
Pd 4.465 0.000 7.448
Pd 5.544 0.000 4.815

***

9.
! PBE Li3Bi2Pd2, relaxed; values from VASP
! DFT total energy = -3.689 eV per atom
! energy relative to the elements = -276 meV per atom
! volume = 20.42 Å³ per atom
! energy above the lowest structure with this stoichiometry = 0.214 eV/atom
! crystal system = monoclinic
! total magnetic moment = 0.00 μB/f.u.
! density of states at the Fermi level = 2.9 states/eV/f.u.
&SYSTEM
  ibrav = 0, nat = 7, ntyp = 3
/
ATOMIC_SPECIES
Li 6.94 Li.upf
Bi 208.98 Bi.upf
Pd 106.42 Pd.upf
CELL_PARAMETERS angstrom
4.422 0.000 0.000
0.000 3.276 0.000
-1.998 0.000 9.866
ATOMIC_POSITIONS angstrom
Li 0.000 0.000 0.000
Li 0.105 0.000 5.536
Li 2.320 0.000 4.330
Bi 0.105 1.638 8.016
Bi 2.320 1.638 1.850
Pd 0.113 0.000 2.811
Pd 2.312 0.000 7.055

***

10.
! PBE LiBi2Pd3, relaxed; values from VASP
! DFT total energy = -4.503 eV per atom
! energy relative to the elements = -294 meV per atom
! volume = 20.32 Å³ per atom
! energy above the lowest structure with this stoichiometry = 0.068 eV/atom
! crystal system = orthorhombic
! total magnetic moment = 0.00 μB/f.u.
! density of states at the Fermi level = 3.8 states/eV/f.u.
&SYSTEM
  ibrav = 0, nat = 12, ntyp = 3
/
ATOMIC_SPECIES
Li 6.94 Li.upf
Bi 208.98 Bi.upf
Pd 106.42 Pd.upf
CELL_PARAMETERS angstrom
5.384 -3.910 0.000
5.384 3.910 0.000
0.000 0.000 5.791
ATOMIC_POSITIONS angstrom
Li 5.384 2.183 2.895
Li 5.384 -2.183 0.000
Bi 3.514 1.480 5.781
Bi 7.254 1.480 5.781
Bi 3.514 -1.480 2.886
Bi 7.254 -1.480 2.886
Pd 1.450 0.003 4.337
Pd 1.450 -0.003 1.441
Pd 5.384 0.004 1.441
Pd 5.384 -0.004 4.337
Pd 9.318 0.003 4.337
Pd 9.318 -0.003 1.441

***

11.
! PBE Li3Bi2Pd3, relaxed; values from VASP
! DFT total energy = -4.110 eV per atom
! energy relative to the elements = -475 meV per atom
! volume = 17.83 Å³ per atom
! energy above the lowest structure with this stoichiometry = 0.000 eV/atom
! crystal system = monoclinic
! total magnetic moment = 0.00 μB/f.u.
! density of states at the Fermi level = 2.9 states/eV/f.u.
&SYSTEM
  ibrav = 0, nat = 16, ntyp = 3
/
ATOMIC_SPECIES
Li 6.94 Li.upf
Bi 208.98 Bi.upf
Pd 106.42 Pd.upf
CELL_PARAMETERS angstrom
8.097 0.000 0.000
0.000 4.626 0.000
-2.838 0.000 7.615
ATOMIC_POSITIONS angstrom
Li 0.000 0.000 0.000
Li -1.428 2.313 3.930
Li 2.683 0.000 1.001
Li 4.048 2.313 0.000
Li 2.621 0.000 3.930
Li 6.731 2.313 1.001
Bi -0.117 0.000 5.717
Bi 1.319 2.313 2.012
Bi 3.932 2.313 5.717
Bi 5.367 0.000 2.012
Pd -0.042 0.000 2.842
Pd -1.482 2.313 6.780
Pd 1.244 2.313 4.840
Pd 4.007 2.313 2.842
Pd 2.566 0.000 6.780
Pd 5.293 0.000 4.840

***

12.
! PBE Li5Bi2Pd5, relaxed; values from VASP
! DFT total energy = -4.026 eV per atom
! energy relative to the elements = -418 meV per atom
! volume = 16.70 Å³ per atom
! energy above the lowest structure with this stoichiometry = 0.000 eV/atom
! crystal system = monoclinic
! total magnetic moment = 0.00 μB/f.u.
! density of states at the Fermi level = 5.2 states/eV/f.u.
&SYSTEM
  ibrav = 0, nat = 12, ntyp = 3
/
ATOMIC_SPECIES
Li 6.94 Li.upf
Bi 208.98 Bi.upf
Pd 106.42 Pd.upf
CELL_PARAMETERS angstrom
4.801 -2.252 0.000
4.801 2.252 0.000
-3.162 0.000 9.265
ATOMIC_POSITIONS angstrom
Li 0.000 0.000 0.000
Li -1.356 0.000 7.112
Li -0.009 0.000 4.537
Li 6.450 0.000 4.728
Li 7.797 0.000 2.154
Bi 1.688 0.000 6.922
Bi 4.753 0.000 2.343
Pd 1.585 0.000 2.271
Pd 3.283 0.000 0.001
Pd 3.220 0.000 4.633
Pd 3.158 0.000 9.264
Pd 4.856 0.000 6.994